1.
First-principles (PBE) data for crystalline KPuI2Br6 at its relaxed geometry, as listed in Alexandria via LeMat-Bulk.

The structure in POSCAR format:
```
KPuI2Br6
1.0
7.152 0.000 0.000
-3.295 7.736 0.000
-2.992 -2.537 7.669
K Pu I Br
1 1 2 6
Direct
0.000 0.000 0.000
0.000 0.500 0.501
0.315 0.122 0.732
0.686 0.877 0.269
0.168 0.383 0.289
0.186 0.381 0.797
0.429 0.847 0.678
0.572 0.151 0.323
0.815 0.618 0.204
0.834 0.616 0.713
```

=====

2.
First-principles (PBE) data for crystalline K2Rb3I3Br2 at its relaxed geometry, as listed in Alexandria via LeMat-Bulk.

The structure in POSCAR format:
```
K2Rb3I3Br2
1.0
-2.813 2.813 16.733
2.813 -2.813 16.733
2.813 2.813 -16.733
K Rb I Br
2 3 3 2
Direct
0.250 0.750 0.500
0.750 0.250 0.500
0.000 0.000 0.000
0.393 0.393 0.000
0.607 0.607 0.000
0.113 0.113 0.000
0.500 0.500 0.000
0.887 0.887 0.000
0.291 0.291 0.000
0.709 0.709 0.000
```

=====

3.
First-principles (PBE) data for crystalline KRbIBr2 at its relaxed geometry, as listed in Alexandria via LeMat-Bulk.

The structure in POSCAR format:
```
KRbIBr2
1.0
6.970 0.000 0.000
0.000 6.970 0.000
0.000 0.000 6.304
K Rb I Br
1 1 1 2
Direct
0.000 0.000 0.000
0.500 0.500 0.000
0.500 0.500 0.500
0.000 0.500 0.500
0.500 0.000 0.500
```

=====

4.
First-principles (PBE) data for crystalline K2Rb4I3Br2 at its relaxed geometry, as listed in Alexandria via LeMat-Bulk.

The structure in POSCAR format:
```
K2Rb4I3Br2
1.0
-3.281 3.281 14.143
3.281 -3.281 14.143
3.281 3.281 -14.143
K Rb I Br
2 4 3 2
Direct
0.219 0.219 0.000
0.781 0.781 0.000
0.087 0.587 0.500
0.413 0.913 0.500
0.587 0.087 0.500
0.913 0.413 0.500
0.341 0.341 0.000
0.500 0.500 0.000
0.659 0.659 0.000
0.103 0.103 0.000
0.897 0.897 0.000
```

=====

5.
First-principles (PBE) data for crystalline K3ReI2Br6 at its relaxed geometry, as listed in Alexandria via LeMat-Bulk.

The structure in POSCAR format:
```
K3ReI2Br6
1.0
8.622 -4.581 0.000
8.622 4.581 0.000
-0.167 0.000 6.022
K Re I Br
3 1 2 6
Direct
0.000 0.000 0.000
0.000 0.500 0.500
0.500 0.000 0.500
0.500 0.500 0.500
0.196 0.196 0.085
0.804 0.804 0.915
0.241 0.628 0.268
0.372 0.759 0.732
0.387 0.387 0.749
0.613 0.613 0.251
0.628 0.241 0.268
0.759 0.372 0.732
```

=====

6.
First-principles (PBE) data for crystalline KRe2IBr at its relaxed geometry, as listed in Alexandria via LeMat-Bulk.

The structure in POSCAR format:
```
KRe2IBr
1.0
4.718 0.000 0.000
0.000 4.718 0.000
0.000 0.000 7.057
K Re I Br
1 2 1 1
Direct
0.000 0.000 0.000
0.000 0.500 0.500
0.500 0.000 0.500
0.500 0.500 0.000
0.000 0.000 0.500
```

=====

7.
First-principles (PBE) data for crystalline KRhI2Br at its relaxed geometry, as listed in Alexandria via LeMat-Bulk.

The structure in POSCAR format:
```
KRhI2Br
1.0
5.523 0.000 0.000
0.000 5.523 0.000
0.000 0.000 5.210
K Rh I Br
1 1 2 1
Direct
0.000 0.000 0.000
0.500 0.500 0.500
0.000 0.500 0.500
0.500 0.000 0.500
0.500 0.500 0.000
```

=====

8.
First-principles (PBE) data for crystalline K6SI2Br2 at its relaxed geometry, as listed in Alexandria via LeMat-Bulk.

The structure in POSCAR format:
```
K6SI2Br2
1.0
4.266 -7.123 0.000
4.266 7.123 0.000
-2.956 0.000 8.109
K S I Br
6 1 2 2
Direct
0.051 0.378 0.205
0.218 0.218 0.789
0.378 0.051 0.205
0.622 0.949 0.795
0.782 0.782 0.211
0.949 0.622 0.795
0.000 0.000 0.000
0.178 0.822 0.500
0.822 0.178 0.500
0.343 0.657 0.000
0.657 0.343 0.000
```

=====

9.
First-principles (PBE) data for crystalline K8SI3Br3 at its relaxed geometry, as listed in Alexandria via LeMat-Bulk.

The structure in POSCAR format:
```
K8SI3Br3
1.0
4.867 2.810 8.199
-4.867 2.810 8.199
0.000 -5.620 8.199
K S I Br
8 1 3 3
Direct
0.244 0.244 0.244
0.272 0.717 0.717
0.283 0.283 0.728
0.283 0.728 0.283
0.717 0.272 0.717
0.717 0.717 0.272
0.728 0.283 0.283
0.756 0.756 0.756
0.500 0.500 0.500
0.000 0.500 0.500
0.500 0.000 0.500
0.500 0.500 0.000
0.000 0.000 0.500
0.000 0.500 0.000
0.500 0.000 0.000
```

=====

10.
First-principles (PBE) data for crystalline K6SI3Br2 at its relaxed geometry, as listed in Alexandria via LeMat-Bulk.

The structure in POSCAR format:
```
K6SI3Br2
1.0
4.293 -7.426 0.000
4.293 7.426 0.000
-2.848 0.000 7.771
K S I Br
6 1 3 2
Direct
0.091 0.424 0.772
0.241 0.241 0.226
0.424 0.091 0.772
0.576 0.909 0.228
0.759 0.759 0.774
0.909 0.576 0.228
0.500 0.500 0.000
0.000 0.000 0.500
0.336 0.664 0.500
0.664 0.336 0.500
0.167 0.833 0.000
0.833 0.167 0.000
```

=====

11.
First-principles (PBE) data for crystalline KScIBr2 at its relaxed geometry, as listed in Alexandria via LeMat-Bulk.

The structure in POSCAR format:
```
KScIBr2
1.0
5.406 0.000 0.000
0.000 5.406 0.000
0.000 0.000 5.980
K Sc I Br
1 1 1 2
Direct
0.000 0.000 0.000
0.500 0.500 0.500
0.500 0.500 0.000
0.000 0.500 0.500
0.500 0.000 0.500
```

=====

12.
First-principles (PBE) data for crystalline K6SeI3Br2 at its relaxed geometry, as listed in Alexandria via LeMat-Bulk.

The structure in POSCAR format:
```
K6SeI3Br2
1.0
4.328 -7.471 0.000
4.328 7.471 0.000
-2.875 0.000 7.769
K Se I Br
6 1 3 2
Direct
0.083 0.423 0.770
0.235 0.235 0.227
0.423 0.083 0.770
0.577 0.917 0.230
0.765 0.765 0.773
0.917 0.577 0.230
0.500 0.500 0.000
0.000 0.000 0.500
0.338 0.662 0.500
0.662 0.338 0.500
0.167 0.833 0.000
0.833 0.167 0.000
```

=====

13.
First-principles (PBE) data for crystalline K6SeI2Br3 at its relaxed geometry, as listed in Alexandria via LeMat-Bulk.

The structure in POSCAR format:
```
K6SeI2Br3
1.0
4.243 -7.039 0.000
4.243 7.039 0.000
-2.606 0.000 8.146
K Se I Br
6 1 2 3
Direct
0.096 0.416 0.769
0.235 0.235 0.243
0.416 0.096 0.769
0.584 0.904 0.231
0.765 0.765 0.757
0.904 0.584 0.231
0.000 0.000 0.500
0.326 0.674 0.500
0.674 0.326 0.500
0.168 0.832 0.000
0.500 0.500 0.000
0.832 0.168 0.000
```

=====

14.
First-principles (PBE) data for crystalline KSeI2Br at its relaxed geometry, as listed in Alexandria via LeMat-Bulk.

The structure in POSCAR format:
```
KSeI2Br
1.0
5.768 0.000 0.000
0.000 5.768 0.000
0.000 0.000 5.806
K Se I Br
1 1 2 1
Direct
0.000 0.000 0.000
0.500 0.500 0.500
0.000 0.500 0.500
0.500 0.000 0.500
0.500 0.500 0.000
```

=====

15.
First-principles (PBE) data for crystalline K2SnI3Br at its relaxed geometry, as listed in Alexandria via LeMat-Bulk.

The structure in POSCAR format:
```
K2SnI3Br
1.0
-2.909 3.098 9.111
2.909 -3.098 9.111
2.909 3.098 -9.111
K Sn I Br
2 1 3 1
Direct
0.137 0.137 0.000
0.863 0.863 0.000
0.500 0.500 0.000
0.000 0.500 0.500
0.327 0.327 0.000
0.673 0.673 0.000
0.500 0.000 0.500
```

=====

16.
First-principles (PBE) data for crystalline KSnIBr2 at its relaxed geometry, as listed in Alexandria via LeMat-Bulk.

The structure in POSCAR format:
```
KSnIBr2
1.0
5.827 0.000 0.000
0.000 5.827 0.000
0.000 0.000 6.285
K Sn I Br
1 1 1 2
Direct
0.000 0.000 0.000
0.500 0.500 0.500
0.500 0.500 0.000
0.000 0.500 0.500
0.500 0.000 0.500
```

=====

17.
First-principles (PBE) data for crystalline K2SnI4Br2 at its relaxed geometry, as listed in Alexandria via LeMat-Bulk.

The structure in POSCAR format:
```
K2SnI4Br2
1.0
6.895 -4.097 0.000
6.895 4.097 0.000
-4.895 0.000 6.602
K Sn I Br
2 1 4 2
Direct
0.247 0.247 0.262
0.753 0.753 0.738
0.000 0.000 0.500
0.206 0.709 0.215
0.291 0.794 0.785
0.709 0.206 0.215
0.794 0.291 0.785
0.236 0.236 0.659
0.764 0.764 0.341
```

=====

18.
First-principles (PBE) data for crystalline KSrI2Br at its relaxed geometry, as listed in Alexandria via LeMat-Bulk.

The structure in POSCAR format:
```
KSrI2Br
1.0
2.394 -7.812 0.000
2.394 7.812 0.000
0.000 0.000 11.333
K Sr I Br
2 2 4 2
Direct
0.227 0.773 0.750
0.773 0.227 0.250
0.500 0.500 0.000
0.500 0.500 0.500
0.140 0.860 0.060
0.140 0.860 0.440
0.860 0.140 0.560
0.860 0.140 0.940
0.424 0.576 0.250
0.576 0.424 0.750
```

=====

19.
First-principles (PBE) data for crystalline KSrI2Br at its relaxed geometry, as listed in Alexandria via LeMat-Bulk.

The structure in POSCAR format:
```
KSrI2Br
1.0
6.471 0.000 0.000
0.000 6.471 0.000
0.000 0.000 5.929
K Sr I Br
1 1 2 1
Direct
0.000 0.000 0.000
0.500 0.500 0.500
0.000 0.500 0.500
0.500 0.000 0.500
0.500 0.500 0.000
```

=====

20.
First-principles (PBE) data for crystalline K2TaI2Br4 at its relaxed geometry, as listed in Alexandria via LeMat-Bulk.

The structure in POSCAR format:
```
K2TaI2Br4
1.0
6.811 -3.800 0.000
6.811 3.800 0.000
-4.168 0.000 6.511
K Ta I Br
2 1 2 4
Direct
0.247 0.247 0.208
0.753 0.753 0.792
0.500 0.500 0.000
0.260 0.260 0.689
0.740 0.740 0.311
0.224 0.703 0.195
0.297 0.776 0.805
0.703 0.224 0.195
0.776 0.297 0.805
```

=====

no.,raw formation energy (meV per atom),energy (eV/cell),total magnetization (μB/cell)
1,-938,-37.94,5.0
2,-1507,-28.16,0.2
3,-734,-10.63,0.0
4,-1338,-28.78,0.0
5,-869,-39.31,1.9
6,1629,-21.07,4.1
7,-595,-16.20,0.0
8,-1433,-32.92,0.2
9,-1482,-44.81,0.2
10,-1375,-35.21,1.0
11,-1390,-19.28,1.0
12,-1390,-34.75,1.0
13,-1433,-35.39,1.0
14,-542,-12.07,0.0
15,-1078,-20.07,0.0
16,-1021,-15.10,0.0
17,-934,-24.15,0.0
18,-1741,-32.52,0.0
19,-1644,-15.77,0.0
20,-1127,-33.98,1.0